Entry 1:
Entry from Alexandria: crystalline Zn3Pt2 at its relaxed geometry (GGA-PBE).

Cell lengths 4.2924, 4.2924, 5.2075 Å; angles 90.00, 90.00, 120.00 degrees
Closest atoms and distances in Å follow each position.
Space group P-3m1 (No. 164)
Symmetry-distinct sites (fractional):
Zn (0.0000, 0.0000, 0.0000) (multiplicity 1)  6 Pt 2.61
Zn (0.3333, 0.6667, 0.3589) (multiplicity 2)  5 Pt 2.54-2.70
Pt (0.3333, 0.6667, 0.8458) (multiplicity 2)  8 Zn 2.54-2.70

Results
N(E_F): 1.55 states/eV/f.u.
uncorrected energy: -3.60 eV per atom
formation enthalpy at 0 K: -0.423 eV/atom
volume: 83.1 Å³/f.u.

***

Entry 2:
Entry from Alexandria: crystalline ZnPt at its relaxed geometry (GGA-PBE).

Cell lengths 7.8938, 7.8938, 4.3926 Å; angles 90.00, 90.00, 90.00 degrees
Closest atoms and distances in Å follow each position.
Space group I4/mmm (No. 139)
Symmetry-distinct sites (fractional):
Zn (0.0000, 0.2566, 0.0000) (multiplicity 8)  6 Pt 2.62-2.67, 2 Zn 2.87
Pt (0.1748, 0.1748, 0.5000) (multiplicity 8)  6 Zn 2.62-2.67, 4 Pt 2.76-2.77

Results
N(E_F): 0.65 states/eV/f.u.
uncorrected energy: -3.99 eV per atom
formation enthalpy at 0 K: -0.331 eV/atom
volume: 34.2 Å³/f.u.

***

Entry 3:
Entry from Alexandria: crystalline ZnPt3 at its relaxed geometry (GGA-PBE).

Cell lengths 4.8307, 9.1057, 5.5504 Å; angles 90.00, 90.00, 90.00 degrees
Closest atoms and distances in Å follow each position.
Space group Pnma (No. 62)
Symmetry-distinct sites (fractional):
Zn (0.0850, 0.2500, 0.1093) (multiplicity 4)  10 Pt 2.68-2.81, 2 Zn 2.88
Pt (0.0869, 0.2500, 0.6033) (multiplicity 4)  4 Zn 2.68-2.81, 8 Pt 2.74-2.91
Pt (0.2475, 0.5006, 0.8682) (multiplicity 8)  9 Pt 2.74-2.84, 3 Zn 2.76-2.81

Results
N(E_F): 3.25 states/eV/f.u.
uncorrected energy: -5.17 eV per atom
formation enthalpy at 0 K: -0.317 eV/atom
volume: 61.0 Å³/f.u.

***

Entry 4:
Entry from Alexandria: crystalline ZnPt at its relaxed geometry (GGA-PBE).

Cell lengths 9.7964, 2.8476, 6.7370 Å; angles 90.00, 107.62, 90.00 degrees
Closest atoms and distances in Å follow each position.
Space group Cm (No. 8)
Symmetry-distinct sites (fractional):
Zn (0.0000, 0.0000, 0.0000) (multiplicity 2)  7 Pt 2.64-2.71, 3 Zn 2.85-2.86
Zn (0.0623, 0.0000, 0.6125) (multiplicity 2)  7 Pt 2.63-2.72, 5 Zn 2.85-2.89
Zn (0.3579, 0.0000, 0.2791) (multiplicity 2)  6 Pt 2.63-2.72, 4 Zn 2.85-2.89
Pt (0.1349, 0.5000, 0.3317) (multiplicity 2)  7 Zn 2.63-2.72, 2 Pt 2.85
Pt (0.2212, 0.5000, 0.9465) (multiplicity 2)  7 Zn 2.64-2.72, 4 Pt 2.85-2.92
Pt (0.3495, 0.0000, 0.6689) (multiplicity 2)  6 Zn 2.65-2.72, 6 Pt 2.85-2.95

Results
N(E_F): 0.63 states/eV/f.u.
uncorrected energy: -4.12 eV per atom
formation enthalpy at 0 K: -0.464 eV/atom
volume: 29.9 Å³/f.u.

***

- Look up the N(E_F) of the fourth one.
  0.63 states/eV/f.u.

***

- What is the volume in the second record?
  34.2 Å³/f.u.

***

- The highest uncorrected energy belongs to which entry?
  Zn3Pt2

***

- What is the formation enthalpy at 0 K in the fourth record?
  -0.464 eV/atom